CePaNi2: optimized geometry, GGA-PBE.

Unit cell a=3.672 b=3.672 c=21.533 alpha=90.00 beta=90.00 gamma=120.00
Element x y z (fractional)
Ce 0.000 0.000 0.000
Ce 0.333 0.667 0.667
Ce 0.667 0.333 0.333
Pa 0.000 0.000 0.500
Pa 0.333 0.667 0.167
Pa 0.667 0.333 0.833
Ni 0.000 0.000 0.244
Ni 0.000 0.000 0.756
Ni 0.333 0.667 0.423
Ni 0.333 0.667 0.910
Ni 0.667 0.333 0.090
Ni 0.667 0.333 0.577

Values from the calculation:
As for the density of states at the Fermi level: 16.9 states/eV/cell. For the total energy, the calculation gives -27.68 eV per formula unit. Its magnetic moment is 1.22 μB/cell. The calculation puts the calculated density at 9678 kg/m3. The calculation puts the formation energy at -16.56 kJ per mole of atoms.

---

FeCo2Os: optimized geometry, GGA-PBE.

Unit cell a=2.615 b=2.615 c=24.722 alpha=90.00 beta=90.00 gamma=120.00
Element x y z (fractional)
Fe 0.000 0.000 0.000
Fe 0.333 0.667 0.667
Fe 0.667 0.333 0.333
Co 0.000 0.000 0.253
Co 0.000 0.000 0.747
Co 0.333 0.667 0.414
Co 0.333 0.667 0.920
Co 0.667 0.333 0.080
Co 0.667 0.333 0.586
Os 0.000 0.000 0.500
Os 0.333 0.667 0.167
Os 0.667 0.333 0.833

Values from the calculation:
As for the density of states at the Fermi level: 14.3 states/eV/cell. For the total energy, the calculation gives -33.31 eV per formula unit. Its magnetic moment is 16.10 μB/cell. The calculation puts the calculated density at 12386 kg/m3. The calculation puts the formation energy at 14.32 kJ per mole of atoms.

---

TbUCo3: optimized geometry, GGA-PBE.

Unit cell a=6.103 b=6.103 c=7.360 alpha=125.80 beta=125.80 gamma=58.72
Element x y z (fractional)
Tb 0.000 0.000 0.000
Tb 0.002 0.002 0.502
U 0.606 0.606 0.381
U 0.606 0.606 0.882
Co 0.059 0.487 0.511
Co 0.060 0.487 0.015
Co 0.387 0.387 0.874
Co 0.389 0.389 0.376
Co 0.487 0.059 0.511
Co 0.487 0.060 0.015

Values from the calculation:
As for the density of states at the Fermi level: 9.1 states/eV/cell. For the total energy, the calculation gives -38.29 eV per formula unit. Its magnetic moment is 0.00 μB/cell. The calculation puts the calculated density at 10972 kg/m3. The calculation puts the formation energy at -20.36 kJ per mole of atoms.

---

LiLa2Re: optimized geometry, GGA-PBE.

Unit cell a=7.973 b=3.457 c=8.662 alpha=90.00 beta=96.36 gamma=90.00
Element x y z (fractional)
Li 0.000 0.000 0.000
Li 0.500 0.500 0.000
La 0.237 0.000 0.693
La 0.263 0.500 0.307
La 0.737 0.500 0.693
La 0.763 0.000 0.307
Re 0.000 0.500 0.500
Re 0.500 0.000 0.500

Values from the calculation:
As for the density of states at the Fermi level: 8.3 states/eV/cell. For the total energy, the calculation gives -22.76 eV per formula unit. Its magnetic moment is 0.00 μB/cell. The calculation puts the calculated density at 6592 kg/m3. The calculation puts the formation energy at 35.11 kJ per mole of atoms.

---

Zn2Co2Re: optimized geometry, GGA-PBE.

Unit cell a=6.936 b=6.936 c=2.645 alpha=90.00 beta=90.00 gamma=90.00
Element x y z (fractional)
Zn 0.175 0.325 0.000
Zn 0.325 0.825 0.000
Zn 0.675 0.175 0.000
Zn 0.825 0.675 0.000
Co 0.121 0.621 0.500
Co 0.379 0.121 0.500
Co 0.621 0.879 0.500
Co 0.879 0.379 0.500
Re 0.000 0.000 0.500
Re 0.500 0.500 0.500

Values from the calculation:
As for the density of states at the Fermi level: 12.8 states/eV/cell. For the total energy, the calculation gives -27.54 eV per formula unit. Its magnetic moment is 4.23 μB/cell. The calculation puts the calculated density at 11353 kg/m3. The calculation puts the formation energy at 32.23 kJ per mole of atoms.

---

ScGa2Cu2: optimized geometry, GGA-PBE.

Unit cell a=3.925 b=3.925 c=10.553 alpha=90.00 beta=90.00 gamma=90.00
Element x y z (fractional)
Sc 0.000 0.000 0.000
Sc 0.500 0.500 0.500
Ga 0.000 0.500 0.250
Ga 0.000 0.500 0.750
Ga 0.500 0.000 0.250
Ga 0.500 0.000 0.750
Cu 0.000 0.000 0.390
Cu 0.000 0.000 0.610
Cu 0.500 0.500 0.110
Cu 0.500 0.500 0.890

Values from the calculation:
As for the density of states at the Fermi level: 5.3 states/eV/cell. For the total energy, the calculation gives -22.01 eV per formula unit. Its magnetic moment is 0.00 μB/cell. The calculation puts the calculated density at 6363 kg/m3. The calculation puts the formation energy at -27.55 kJ per mole of atoms.

---

BaNd2Pd: optimized geometry, GGA-PBE.

Unit cell a=4.297 b=4.297 c=29.358 alpha=90.00 beta=90.00 gamma=120.00
Element x y z (fractional)
Ba 0.000 0.000 0.000
Ba 0.333 0.667 0.667
Ba 0.667 0.333 0.333
Nd 0.000 0.000 0.220
Nd 0.000 0.000 0.450
Nd 0.333 0.667 0.116
Nd 0.333 0.667 0.887
Nd 0.667 0.333 0.553
Nd 0.667 0.333 0.783
Pd 0.000 0.000 0.835
Pd 0.333 0.667 0.501
Pd 0.667 0.333 0.168

Values from the calculation:
As for the density of states at the Fermi level: 14.9 states/eV/cell. For the total energy, the calculation gives -17.70 eV per formula unit. Its magnetic moment is 0.00 μB/cell. The calculation puts the calculated density at 5648 kg/m3. The calculation puts the formation energy at -25.31 kJ per mole of atoms.

---

TaP2W: optimized geometry, GGA-PBE.

Unit cell a=4.925 b=4.925 c=13.112 alpha=90.00 beta=90.00 gamma=90.00
Element x y z (fractional)
Ta 0.000 0.000 0.000
Ta 0.000 0.500 0.250
Ta 0.500 0.000 0.750
Ta 0.500 0.500 0.500
P 0.230 0.250 0.625
P 0.250 0.730 0.875
P 0.250 0.770 0.375
P 0.270 0.250 0.125
P 0.730 0.750 0.125
P 0.750 0.230 0.375
P 0.750 0.270 0.875
P 0.770 0.750 0.625
W 0.000 0.000 0.500
W 0.000 0.500 0.750
W 0.500 0.000 0.250
W 0.500 0.500 0.000

Values from the calculation:
As for the density of states at the Fermi level: 20.0 states/eV/cell. For the total energy, the calculation gives -34.31 eV per formula unit. Its magnetic moment is 0.00 μB/cell. The calculation puts the calculated density at 8912 kg/m3. The calculation puts the formation energy at 31.67 kJ per mole of atoms.

---

PmHfGaPd: optimized geometry, GGA-PBE.

Unit cell a=6.977 b=6.977 c=6.977 alpha=90.00 beta=90.00 gamma=90.00
Element x y z (fractional)
Pm 0.000 0.000 0.000
Pm 0.000 0.500 0.500
Pm 0.500 0.000 0.500
Pm 0.500 0.500 0.000
Hf 0.000 0.000 0.500
Hf 0.000 0.500 0.000
Hf 0.500 0.000 0.000
Hf 0.500 0.500 0.500
Ga 0.250 0.250 0.250
Ga 0.250 0.750 0.750
Ga 0.750 0.250 0.750
Ga 0.750 0.750 0.250
Pd 0.250 0.250 0.750
Pd 0.250 0.750 0.250
Pd 0.750 0.250 0.250
Pd 0.750 0.750 0.750

Values from the calculation:
As for the density of states at the Fermi level: 16.9 states/eV/cell. For the total energy, the calculation gives -24.63 eV per formula unit. Its magnetic moment is 0.93 μB/cell. The calculation puts the calculated density at 9772 kg/m3. The calculation puts the formation energy at -41.28 kJ per mole of atoms.

---

NiSeN2: optimized geometry, GGA-PBE.

Unit cell a=3.779 b=3.783 c=8.311 alpha=97.82 beta=92.87 gamma=115.96
Element x y z (fractional)
Ni 0.000 0.000 0.000
Se 0.654 0.348 0.002
N 0.552 0.167 0.452
N 0.748 0.433 0.545

Values from the calculation:
As for the density of states at the Fermi level: 2.1 states/eV/cell. For the total energy, the calculation gives -25.50 eV per formula unit. Its magnetic moment is 0.00 μB/cell. The calculation puts the calculated density at 2619 kg/m3. Its formation energy (no corrections) is 0.10 eV per atom.

---

La3MgTl: optimized geometry, GGA-PBE.

Unit cell a=8.750 b=8.750 c=10.928 alpha=110.99 beta=110.99 gamma=24.34
Element x y z (fractional)
La 0.072 0.072 0.425
La 0.149 0.149 0.019
La 0.260 0.260 0.654
La 0.740 0.740 0.346
La 0.851 0.851 0.981
La 0.928 0.928 0.575
Mg 0.385 0.385 0.270
Mg 0.615 0.615 0.730
Tl 0.470 0.470 0.847
Tl 0.530 0.530 0.153

Values from the calculation:
As for the density of states at the Fermi level: 10.6 states/eV/cell. For the total energy, the calculation gives -19.57 eV per formula unit. Its magnetic moment is 0.00 μB/cell. The calculation puts the calculated density at 6680 kg/m3. The calculation puts the formation energy at -16.05 kJ per mole of atoms.

---

FeCoC2Cl: optimized geometry, GGA-PBE.

Unit cell a=3.820 b=3.820 c=3.972 alpha=90.00 beta=90.00 gamma=90.00
Element x y z (fractional)
Fe 0.000 0.000 0.000
Co 0.500 0.500 0.000
C 0.000 0.500 0.500
C 0.500 0.000 0.500
Cl 0.500 0.500 0.500

Values from the calculation:
As for the density of states at the Fermi level: 5.1 states/eV/cell. For the total energy, the calculation gives -21.68 eV per formula unit. Its magnetic moment is 2.94 μB/cell. The calculation puts the calculated density at 4993 kg/m3. Its formation energy (no corrections) is 2.84 eV per atom.

---

> The highest calculated density belongs to which entry?

FeCo2Os

---

> Look up the magnetic moment of the seventh one.

0.00 μB/cell